[1]
Density functional theory data (GGA-PBEsol) for SiBiPd2Pt after structural relaxation.

Cell lengths 4.9992, 4.9992, 4.3367 Å; angles 90.00, 90.00, 90.00 degrees
Closest atoms and distances in Å follow each position.
Element x y z (fractional)
Si  0.0000  0.0000  0.0000  2 Pt 2.17
Bi  0.5000  0.5000  0.0000  8 Pd 3.31, 4 Si 3.53
Pd  0.0000  0.5000  0.5000  2 Pt 2.50
Pd  0.5000  0.0000  0.5000  2 Pt 2.50
Pt  0.0000  0.0000  0.5000  2 Si 2.17

Properties
Raw total energy, eV per atom: -5.366

---

[2]
Density functional theory data (GGA-PBEsol) for CaYSn2S after structural relaxation.

Cell lengths 5.6916, 5.6916, 5.0764 Å; angles 90.00, 90.00, 90.00 degrees
Closest atoms and distances in Å follow each position.
Element x y z (fractional)
Ca  0.0000  0.0000  0.0000  8 Sn 3.81, 4 S 4.02
Y  0.5000  0.5000  0.5000  2 S 2.54
Sn  0.0000  0.5000  0.5000  2 Y 2.85
Sn  0.5000  0.0000  0.5000  2 Y 2.85
S  0.5000  0.5000  0.0000  2 Y 2.54

Properties
Raw total energy, eV per atom: -4.618